PBE with a Hubbard U LiFe4B4O12, optimized geometry; total moment = 38.01 Bohr magnetons per cell; energy above the lowest structure with this stoichiometry = 0.0000 eV/atom
1.0
5.2918 0.0000 0.0000
0.0000 9.0643 0.0000
-0.0766 0.0000 10.2189
Li Fe B O
2 8 8 24
Cartesian
0.5417 0.0000 4.1519
4.6735 4.5321 6.0670
0.4566 3.0198 3.8095
0.4312 5.8627 8.8851
2.0849 2.7246 6.4042
2.1468 5.8486 1.2139
3.0684 1.3164 9.0049
3.1303 7.2568 3.8146
4.7840 1.3305 1.3338
4.7586 7.5519 6.4094
0.4096 6.0348 3.8411
0.3770 2.7981 8.9650
2.1580 2.8068 1.2705
2.1331 5.7576 6.3355
3.0821 1.2255 3.8834
3.0573 7.3390 8.9484
4.8382 7.3303 1.2538
4.8056 1.5026 6.3777
0.0098 8.5982 1.2776
0.0856 0.3219 6.0677
0.1394 2.7118 6.0245
0.2798 6.2749 0.6964
0.8486 5.9680 6.8522
0.9041 2.5646 1.8135
1.6464 6.1207 3.1907
1.6174 2.4787 8.3961
2.3540 2.2647 4.4614
2.3144 6.2377 9.4115
2.4953 9.0465 3.8365
2.5578 8.5921 9.0227
2.6574 4.0600 1.1961
2.7199 4.5143 6.3824
2.9008 1.7055 0.8074
2.8613 6.7968 5.7574
3.5978 7.0108 1.8227
3.5688 1.5886 7.0282
4.3111 7.0967 8.4053
4.3666 1.4359 3.3667
4.9354 1.7428 9.5225
5.0758 7.2440 4.1944
5.1296 4.8541 4.1512
5.2054 4.0660 8.9412